Record 1
# Er3Al2Ag

Er3Al2Ag after structural relaxation (GGA-PBE, Alexandria via LeMat-Bulk).

Cell lengths 3.4486, 3.4486, 11.6217 Å; angles 90.00, 90.00, 90.00 degrees
Space group P4/mmm (No. 123)
One atom of each set of equivalent atoms:
Er 0.0000 0.0000 0.0000 (multiplicity 1)
Er 0.0000 0.0000 0.3336 (multiplicity 2)
Al 0.5000 0.5000 0.1690 (multiplicity 2)
Ag 0.5000 0.5000 0.5000 (multiplicity 1)

Results
As for the final energy: -4.38 eV per atom. The calculated volume is 23.0 Å³ per atom. The formation energy is -371 meV per atom.

=====

Record 2
# ErAl2Ag

ErAl2Ag after structural relaxation (GGA-PBE, Alexandria via LeMat-Bulk).

Cell lengths 4.2870, 4.2870, 4.2918 Å; angles 90.00, 90.00, 90.00 degrees
Space group P4/mmm (No. 123)
One atom of each set of equivalent atoms:
Er 0.0000 0.0000 0.0000 (multiplicity 1)
Al 0.0000 0.5000 0.5000 (multiplicity 2)
Ag 0.5000 0.5000 0.0000 (multiplicity 1)

Results
As for the final energy: -4.03 eV per atom. The calculated volume is 19.7 Å³ per atom. The formation energy is -303 meV per atom.

=====

Record 3
# Er3AlAg

Er3AlAg after structural relaxation (GGA-PBE, Alexandria via LeMat-Bulk).

Cell lengths 5.0043, 20.1108, 5.0052 Å; angles 90.00, 90.00, 90.00 degrees
Space group Cmcm (No. 63)
One atom of each set of equivalent atoms:
Er 0.0000 0.0626 0.2500 (multiplicity 4)
Er 0.0000 0.2494 0.2500 (multiplicity 4)
Er 0.0000 0.4348 0.2500 (multiplicity 4)
Al 0.0000 0.1569 0.7500 (multiplicity 4)
Ag 0.0000 0.3392 0.7500 (multiplicity 4)

Results
The calculation puts the energy above the most stable polymorph in this dataset at 0 meV/atom. As for the final energy: -4.31 eV per atom. The calculated volume is 25.2 Å³ per atom. The formation energy is -258 meV per atom.

=====

Record 4
# ErAlAg3

ErAlAg3 after structural relaxation (GGA-PBE, Alexandria via LeMat-Bulk).

Cell lengths 4.7249, 26.9868, 3.2984 Å; angles 90.00, 90.00, 90.00 degrees
Space group Cmmm (No. 65)
One atom of each set of equivalent atoms:
Er 0.0000 0.1767 0.0000 (multiplicity 4)
Al 0.0000 0.3746 0.5000 (multiplicity 4)
Ag 0.0000 0.0739 0.5000 (multiplicity 4)
Ag 0.0000 0.2776 0.5000 (multiplicity 4)
Ag 0.0000 0.4500 0.0000 (multiplicity 4)

Results
The calculation puts the energy above the most stable polymorph in this dataset at 108 meV/atom. As for the final energy: -3.50 eV per atom. The calculated volume is 21.0 Å³ per atom. The formation energy is -123 meV per atom.